Entry 1:
# ErInGe (PBE, relaxed)
# E_form	-0.4437	eV/atom
data_ErInGe
_chemical_formula_sum 'Er4 In4 Ge4'
_space_group_name_H-M_alt 'P n m a'
_space_group_IT_number 62
_cell_length_a 10.692
_cell_length_b 4.282
_cell_length_c 6.698
_cell_angle_alpha 90.00
_cell_angle_beta 90.00
_cell_angle_gamma 90.00
loop_
_space_group_symop_operation_xyz
'x,y,z'
'-x,-y,-z'
'-x+1/2,-y,z+1/2'
'x+1/2,y,-z+1/2'
'x+1/2,-y+1/2,-z+1/2'
'-x+1/2,y+1/2,z+1/2'
'-x,y+1/2,-z'
'x,-y+1/2,z'
loop_
_atom_site_label
_atom_site_fract_x
_atom_site_fract_y
_atom_site_fract_z
Er1 0.094 0.250 0.206
In1 0.123 0.250 0.682
Ge1 0.170 0.750 0.937

Entry 2:
# LaErInGe (PBE, relaxed)
# E_form	-0.4998	eV/atom
data_LaErInGe
_chemical_formula_sum 'La4 Er4 In4 Ge4'
_space_group_name_H-M_alt 'F -4 3 m'
_space_group_IT_number 216
_space_group_name_Hall 'F -4 2 3'
_cell_length_a 7.515
_cell_length_b 7.515
_cell_length_c 7.515
_cell_angle_alpha 90.00
_cell_angle_beta 90.00
_cell_angle_gamma 90.00
loop_
_atom_site_label
_atom_site_fract_x
_atom_site_fract_y
_atom_site_fract_z
La1 0.000 0.000 0.000
Er1 0.000 0.000 0.500
In1 0.250 0.250 0.750
Ge1 0.250 0.250 0.250

Entry 3:
# Er4InNi2Ge4 (PBE, relaxed)
# E_form	-0.7767	eV/atom
data_Er4InNi2Ge4
_chemical_formula_sum 'Er8 In2 Ni4 Ge8'
_space_group_name_H-M_alt 'C 1 2/m 1'
_space_group_IT_number 12
_cell_length_a 15.416
_cell_length_b 4.223
_cell_length_c 7.002
_cell_angle_alpha 90.00
_cell_angle_beta 108.69
_cell_angle_gamma 90.00
loop_
_space_group_symop_operation_xyz
'x,y,z'
'-x,-y,-z'
'-x,y,-z'
'x,-y,z'
'x+1/2,y+1/2,z'
'-x+1/2,-y+1/2,-z'
'-x+1/2,y+1/2,-z'
'x+1/2,-y+1/2,z'
loop_
_atom_site_label
_atom_site_fract_x
_atom_site_fract_y
_atom_site_fract_z
Er1 0.092 0.000 0.393
Er2 0.156 0.000 0.938
In1 0.000 0.500 0.000
Ni1 0.217 0.500 0.649
Ge1 0.065 0.500 0.664
Ge2 0.204 0.500 0.273

Entry 4:
# ErInGePd (PBE, relaxed)
# E_form	-0.5405	eV/atom
data_ErInGePd
_chemical_formula_sum 'Er4 In4 Ge4 Pd4'
_space_group_name_H-M_alt 'F -4 3 m'
_space_group_IT_number 216
_space_group_name_Hall 'F -4 2 3'
_cell_length_a 6.886
_cell_length_b 6.886
_cell_length_c 6.886
_cell_angle_alpha 90.00
_cell_angle_beta 90.00
_cell_angle_gamma 90.00
loop_
_atom_site_label
_atom_site_fract_x
_atom_site_fract_y
_atom_site_fract_z
Er1 0.000 0.000 0.000
In1 0.000 0.000 0.500
Ge1 0.250 0.250 0.750
Pd1 0.250 0.250 0.250

Entry 5:
# PmErInGe (PBE, relaxed)
# E_form	-0.4728	eV/atom
data_PmErInGe
_chemical_formula_sum 'Pm4 Er4 In4 Ge4'
_space_group_name_H-M_alt 'F -4 3 m'
_space_group_IT_number 216
_space_group_name_Hall 'F -4 2 3'
_cell_length_a 7.416
_cell_length_b 7.416
_cell_length_c 7.416
_cell_angle_alpha 90.00
_cell_angle_beta 90.00
_cell_angle_gamma 90.00
loop_
_atom_site_label
_atom_site_fract_x
_atom_site_fract_y
_atom_site_fract_z
Pm1 0.000 0.000 0.000
Er1 0.000 0.000 0.500
In1 0.250 0.250 0.750
Ge1 0.250 0.250 0.250

Entry 6:
# ErInGePt (PBE, relaxed)
# E_form	-0.6194	eV/atom
data_ErInGePt
_chemical_formula_sum 'Er4 In4 Ge4 Pt4'
_space_group_name_H-M_alt 'F -4 3 m'
_space_group_IT_number 216
_space_group_name_Hall 'F -4 2 3'
_cell_length_a 6.884
_cell_length_b 6.884
_cell_length_c 6.884
_cell_angle_alpha 90.00
_cell_angle_beta 90.00
_cell_angle_gamma 90.00
loop_
_atom_site_label
_atom_site_fract_x
_atom_site_fract_y
_atom_site_fract_z
Er1 0.000 0.000 0.000
In1 0.000 0.000 0.500
Ge1 0.250 0.250 0.250
Pt1 0.250 0.250 0.750

Entry 7:
# ErPuInGe (PBE, relaxed)
# E_form	-0.3288	eV/atom
data_ErPuInGe
_chemical_formula_sum 'Er4 Pu4 In4 Ge4'
_space_group_name_H-M_alt 'F -4 3 m'
_space_group_IT_number 216
_space_group_name_Hall 'F -4 2 3'
_cell_length_a 7.324
_cell_length_b 7.324
_cell_length_c 7.324
_cell_angle_alpha 90.00
_cell_angle_beta 90.00
_cell_angle_gamma 90.00
loop_
_atom_site_label
_atom_site_fract_x
_atom_site_fract_y
_atom_site_fract_z
Er1 0.000 0.000 0.000
Pu1 0.000 0.000 0.500
In1 0.250 0.250 0.250
Ge1 0.250 0.250 0.750

Entry 8:
# Er2InGe2Rh5 (PBE, relaxed)
# E_form	-0.8203	eV/atom
data_Er2InGe2Rh5
_chemical_formula_sum 'Er4 In2 Ge4 Rh10'
_space_group_name_H-M_alt 'P 4/m b m'
_space_group_IT_number 127
_space_group_name_Hall '-P 4 2ab'
_cell_length_a 9.801
_cell_length_b 9.801
_cell_length_c 3.608
_cell_angle_alpha 90.00
_cell_angle_beta 90.00
_cell_angle_gamma 90.00
loop_
_atom_site_label
_atom_site_fract_x
_atom_site_fract_y
_atom_site_fract_z
Er1 0.174 0.326 0.000
In1 0.000 0.000 0.000
Ge1 0.123 0.623 0.000
Rh1 0.000 0.500 0.500
Rh2 0.069 0.788 0.500

The lowest E_form belongs to which entry?
Er2InGe2Rh5